#a
A relaxed structure of BaBIr. Source: OQMD via LeMat-Bulk, functional PBE.

- space group = F-43m (216)

Cell and atoms, written as POSCAR:
```
BaBIr
1.0
-3.821 0.891 2.462
-3.919 1.198 -2.159
-3.572 -2.947 -0.121
Ir B Ba
1 1 1
Cartesian
0.000 0.000 0.000
-2.828 -0.214 0.046
-8.484 -0.643 0.137
```

---

#b
A relaxed structure of BaBIr. Source: OQMD via LeMat-Bulk, functional PBE.

- space group = F-43m (216)

Cell and atoms, written as POSCAR:
```
BaBIr
1.0
0.000 3.194 3.194
3.194 0.000 3.194
3.194 3.194 0.000
B Ba Ir
1 1 1
Cartesian
0.000 0.000 0.000
1.597 1.597 1.597
4.791 4.791 4.791
```

---

#c
A relaxed structure of BaBIr. Source: OQMD via LeMat-Bulk, functional PBE.

- space group = F-43m (216)

Cell and atoms, written as POSCAR:
```
BaBIr
1.0
0.000 3.409 3.409
3.409 0.000 3.409
3.409 3.409 0.000
Ir B Ba
1 1 1
Cartesian
5.113 5.113 5.113
1.704 1.704 1.704
0.000 0.000 0.000
```

---

#b (0.171 eV/atom below the next structure)

---

#a
A relaxed structure of BaNiB4. Source: OQMD via LeMat-Bulk, functional PBE.

- space group = P6/mmm (191)

Cell and atoms, written as POSCAR:
```
BaNiB4
1.0
3.161 0.000 0.000
-1.580 2.737 0.000
0.000 0.000 7.627
B Ni Ba
4 1 1
Cartesian
0.000 1.825 1.354
1.580 0.912 1.354
0.000 1.825 6.272
1.580 0.912 6.272
0.000 0.000 0.000
0.000 0.000 3.813
```

---

#b
A relaxed structure of BaNiB4. Source: OQMD via LeMat-Bulk, functional PBE.

- space group = Immm (71)

Cell and atoms, written as POSCAR:
```
BaNiB4
1.0
-1.469 2.789 4.584
1.469 -2.789 4.584
1.469 2.789 -4.584
Ni B Ba
1 4 1
Cartesian
0.000 0.000 4.584
1.469 0.847 2.415
0.000 1.942 2.169
1.469 -0.847 2.415
0.000 3.635 2.169
0.000 0.000 0.000
```

---

#a (0.354 eV/atom below the next structure)

---

#a
A relaxed structure of BaNpB. Source: OQMD via LeMat-Bulk, functional PBE.

- space group = F-43m (216)

Cell and atoms, written as POSCAR:
```
BaNpB
1.0
2.542 -3.935 0.963
0.001 -1.824 4.421
-2.235 -4.135 0.881
B Ba Np
1 1 1
Cartesian
0.000 0.000 0.000
0.077 -2.473 1.566
0.231 -7.420 4.699
```

---

#b
A relaxed structure of BaNpB. Source: OQMD via LeMat-Bulk, functional PBE.

- space group = F-43m (216)

Cell and atoms, written as POSCAR:
```
BaNpB
1.0
0.000 3.368 3.368
3.368 0.000 3.368
3.368 3.368 0.000
Ba Np B
1 1 1
Cartesian
0.000 0.000 0.000
5.052 5.052 5.052
1.684 1.684 1.684
```

---

#a (0.736 eV/atom below the next structure)

---

#a
A relaxed structure of BaB4Os. Source: OQMD via LeMat-Bulk, functional PBE.

- space group = Immm (71)

Cell and atoms, written as POSCAR:
```
BaB4Os
1.0
-2.113 1.247 4.780
-5.303 -0.344 -0.792
4.773 -2.428 0.435
B Os Ba
4 1 1
Cartesian
-2.764 -0.960 0.216
-0.639 -0.229 2.717
0.121 -0.566 4.206
-2.004 -1.297 1.705
-3.708 0.451 1.994
0.000 0.000 0.000
```

---

#b
A relaxed structure of BaB4Os. Source: OQMD via LeMat-Bulk, functional PBE.

- space group = P6/mmm (191)

Cell and atoms, written as POSCAR:
```
BaB4Os
1.0
-1.237 -0.642 -2.866
0.384 -2.339 2.130
-7.294 1.388 2.838
B Ba Os
4 1 1
Cartesian
-2.935 -0.782 -0.330
-5.213 -0.811 2.432
-2.394 -1.347 1.336
-5.753 -0.245 0.767
0.000 0.000 0.000
-3.647 0.694 1.419
```

---

#b (0.369 eV/atom below the next structure)

---

#a
A relaxed structure of BaB4Pd. Source: OQMD via LeMat-Bulk, functional PBE.

- space group = P6/mmm (191)

Cell and atoms, written as POSCAR:
```
BaB4Pd
1.0
-1.483 1.208 -2.565
-1.346 -2.390 1.648
-3.785 5.395 4.732
B Ba Pd
4 1 1
Cartesian
-4.470 4.332 2.631
-2.190 1.081 -0.220
-4.425 3.132 4.035
-2.144 -0.118 1.184
-1.893 2.697 2.366
0.000 0.000 0.000
```

---

#b
A relaxed structure of BaB4Pd. Source: OQMD via LeMat-Bulk, functional PBE.

- space group = Immm (71)

Cell and atoms, written as POSCAR:
```
BaB4Pd
1.0
3.211 0.830 4.565
-3.086 1.365 4.523
1.443 -3.803 -3.911
B Ba Pd
4 1 1
Cartesian
1.647 -0.461 2.587
-1.505 -0.236 2.390
-0.079 -1.147 2.590
3.072 -1.372 2.787
0.062 1.097 4.544
0.000 0.000 0.000
```

---

#a (0.136 eV/atom below the next structure)

---

#a
A relaxed structure of BaBPd. Source: OQMD via LeMat-Bulk, functional PBE.

- space group = F-43m (216)

Cell and atoms, written as POSCAR:
```
BaBPd
1.0
-2.134 0.465 4.224
-4.190 2.227 0.315
-3.944 -2.478 0.957
Ba Pd B
1 1 1
Cartesian
-7.701 0.161 4.122
0.000 0.000 0.000
-2.567 0.054 1.374
```

---

#b
A relaxed structure of BaBPd. Source: OQMD via LeMat-Bulk, functional PBE.

- space group = F-43m (216)

Cell and atoms, written as POSCAR:
```
BaBPd
1.0
2.190 -1.559 3.786
-1.400 1.355 4.215
-2.113 -3.019 2.826
B Pd Ba
1 1 1
Cartesian
0.000 0.000 0.000
-0.992 -2.418 8.121
-0.331 -0.806 2.707
```

---

#b (0.154 eV/atom below the next structure)

---

#a
A relaxed structure of BaPuB. Source: OQMD via LeMat-Bulk, functional PBE.

- space group = F-43m (216)

Cell and atoms, written as POSCAR:
```
BaPuB
1.0
2.409 1.391 3.933
-2.409 1.391 3.933
0.000 -2.781 3.933
B Pu Ba
1 1 1
Cartesian
0.000 0.000 0.000
0.000 0.000 2.950
0.000 0.000 8.850
```

---

#b
A relaxed structure of BaPuB. Source: OQMD via LeMat-Bulk, functional PBE.

- space group = F-43m (216)

Cell and atoms, written as POSCAR:
```
BaPuB
1.0
3.455 -1.358 3.043
3.118 3.235 1.689
-0.193 1.343 4.604
Pu B Ba
1 1 1
Cartesian
4.785 2.415 7.001
1.595 0.805 2.334
0.000 0.000 0.000
```

---

#a (0.703 eV/atom below the next structure)